Entry 1:
Entry from the Alexandria database: an optimized crystal structure of Sr2PSe (PBE-GGA).

Calculated values
As for the energy relative to the lowest polymorph listed for this composition: 283 meV/atom. The final energy is -16.49 eV per formula unit.

Structure (POSCAR):
```
Sr2PSe
1.0
-2.166 2.166 6.137
2.166 -2.166 6.137
2.166 2.166 -6.137
Sr P Se
2 1 1
Cartesian
0.000 0.000 6.137
2.166 0.000 3.068
0.000 0.000 0.000
0.000 2.166 3.068
```

---

Entry 2:
Entry from the Alexandria database: an optimized crystal structure of SrPSe2 (PBE-GGA).

Calculated values
The final energy is -17.29 eV per formula unit.

Structure (POSCAR):
```
SrPSe2
1.0
2.050 -5.609 0.000
2.050 5.609 0.000
0.000 0.000 4.312
Sr P Se
1 1 2
Cartesian
2.050 -0.391 0.000
2.050 -2.897 2.156
2.050 -5.157 2.156
2.050 2.836 0.000
```

---

Entry 3:
Entry from the Alexandria database: an optimized crystal structure of Sr2PSe (PBE-GGA).

Calculated values
As for the energy relative to the lowest polymorph listed for this composition: 0 meV/atom. The final energy is -17.62 eV per formula unit.

Structure (POSCAR):
```
Sr2PSe
1.0
7.688 -2.164 -0.006
7.688 2.164 -0.006
7.081 0.000 3.693
Sr P Se
2 1 1
Cartesian
5.588 0.000 0.916
16.868 0.000 2.765
0.000 0.000 0.000
11.228 0.000 1.840
```

---

Entry 4:
Entry from the Alexandria database: an optimized crystal structure of Sr2PSe (PBE-GGA).

Calculated values
As for the energy relative to the lowest polymorph listed for this composition: 940 meV/atom. The final energy is -13.86 eV per formula unit.

Structure (POSCAR):
```
Sr2PSe
1.0
0.000 3.748 3.748
3.748 0.000 3.748
3.748 3.748 0.000
Sr P Se
2 1 1
Cartesian
0.000 0.000 0.000
5.621 5.621 5.621
3.748 3.748 3.748
1.874 1.874 1.874
```

---

Entry 5:
Entry from the Alexandria database: an optimized crystal structure of SrPSe2 (PBE-GGA).

Calculated values
The final energy is -17.59 eV per formula unit.

Structure (POSCAR):
```
SrPSe2
1.0
-0.028 -0.114 4.385
4.398 -1.214 -0.004
3.615 4.873 0.150
Sr P Se
1 1 2
Cartesian
2.208 2.535 0.080
3.367 0.367 2.225
4.037 -0.488 0.013
4.579 2.353 2.284
```

---

Entry 6:
Entry from the Alexandria database: an optimized crystal structure of SrPSe2 (PBE-GGA).

Calculated values
The final energy is -15.76 eV per formula unit.

Structure (POSCAR):
```
SrPSe2
1.0
-2.089 2.089 5.371
2.089 -2.089 5.371
2.089 2.089 -5.371
Sr P Se
1 1 2
Cartesian
0.000 0.000 5.371
0.000 2.089 2.686
0.000 0.000 0.000
2.089 0.000 2.686
```

---

Entry 7:
Entry from the Alexandria database: an optimized crystal structure of SrPSe2 (PBE-GGA).

Calculated values
The final energy is -14.42 eV per formula unit.

Structure (POSCAR):
```
SrPSe2
1.0
0.000 3.635 3.635
3.635 0.000 3.635
3.635 3.635 0.000
Sr P Se
1 1 2
Cartesian
1.817 1.817 1.817
3.635 3.635 3.635
0.000 0.000 0.000
5.452 5.452 5.452
```

---

Entry 8:
Entry from the Alexandria database: an optimized crystal structure of SrPSe2 (PBE-GGA).

Calculated values
The final energy is -15.96 eV per formula unit.

Structure (POSCAR):
```
SrPSe2
1.0
4.185 3.007 0.035
-4.185 3.007 0.035
0.000 2.935 4.221
Sr P Se
1 1 2
Cartesian
0.000 1.468 2.110
0.000 4.475 2.145
-2.092 1.504 0.017
2.092 1.504 0.017
```

---

Entry 9:
Entry from the Alexandria database: an optimized crystal structure of SrPSe2 (PBE-GGA).

Calculated values
The final energy is -16.35 eV per formula unit.

Structure (POSCAR):
```
SrPSe2
1.0
5.934 0.000 0.000
0.000 5.934 0.000
2.967 2.967 7.328
Sr Se P
2 4 2
Cartesian
0.000 0.000 0.000
5.934 2.967 3.664
3.984 1.484 1.832
1.950 4.451 1.832
4.451 4.917 5.496
7.418 6.951 5.496
2.967 2.967 0.000
2.967 5.934 3.664
```

---

Entry 10:
Entry from the Alexandria database: an optimized crystal structure of SrPSe2 (PBE-GGA).

Calculated values
The final energy is -16.23 eV per formula unit.

Structure (POSCAR):
```
SrPSe2
1.0
-1.942 2.741 4.455
1.942 -2.741 4.455
1.942 2.741 -4.455
Sr P Se
1 1 2
Cartesian
0.000 0.000 4.403
1.942 0.000 1.758
0.000 0.000 0.213
0.000 2.741 2.537
```

---

Entry 11:
Entry from the Alexandria database: an optimized crystal structure of SrPSe2 (PBE-GGA).

Calculated values
The final energy is -16.82 eV per formula unit.

Structure (POSCAR):
```
SrPSe2
1.0
-1.921 2.817 4.406
1.921 -2.817 4.406
1.921 2.817 -4.406
Sr P Se
1 1 2
Cartesian
0.000 2.817 0.000
1.921 0.000 0.000
0.000 0.000 7.108
0.000 0.000 1.704
```

---

Entry 12:
Entry from the Alexandria database: an optimized crystal structure of Sr4PSe2 (PBE-GGA).

Calculated values
The final energy is -29.43 eV per formula unit.

Structure (POSCAR):
```
Sr4PSe2
1.0
-2.688 -2.701 2.111
6.530 -0.088 3.707
-4.650 11.238 8.459
Sr P Se
8 2 4
Cartesian
0.932 -0.688 4.802
-0.183 2.007 6.830
-1.740 9.137 9.475
-0.625 6.442 7.447
-0.039 5.748 11.801
-0.769 2.701 2.476
-1.344 -1.351 1.056
-3.669 4.269 5.285
-3.639 6.747 8.495
2.831 1.702 5.782
-0.647 4.558 5.009
-1.930 8.164 12.485
1.121 0.285 1.792
-0.162 3.891 9.269
```

---

Entry 13:
Entry from the Alexandria database: an optimized crystal structure of SrPSe2 (PBE-GGA).

Calculated values
The final energy is -16.97 eV per formula unit.

Structure (POSCAR):
```
SrPSe2
1.0
2.996 -2.996 0.000
2.996 2.996 0.000
0.000 0.000 6.104
Sr P Se
1 1 2
Cartesian
0.000 0.000 3.740
2.996 0.000 0.473
0.000 0.000 0.681
2.996 0.000 4.263
```

---

Entry 14:
Entry from the Alexandria database: an optimized crystal structure of Sr2PSe (PBE-GGA).

Calculated values
As for the energy relative to the lowest polymorph listed for this composition: 7 meV/atom. The final energy is -17.60 eV per formula unit.

Structure (POSCAR):
```
Sr2PSe
1.0
-1.141 4.011 -1.473
-2.477 0.622 3.611
4.941 2.493 2.960
Sr P Se
2 1 1
Cartesian
0.000 0.000 0.000
0.661 3.563 2.549
-1.809 2.317 1.069
2.470 1.246 1.480
```

---

Entry 15:
Entry from the Alexandria database: an optimized crystal structure of SrTaP2Se8 (PBE-GGA).

Calculated values
The final energy is -57.80 eV per formula unit.

Structure (POSCAR):
```
SrTaP2Se8
1.0
-4.298 4.476 1.105
-1.824 -5.703 -1.970
-0.657 -2.736 8.530
Sr Ta P Se
1 1 2 8
Cartesian
0.000 0.000 0.000
-0.328 -1.368 4.265
-3.646 0.365 2.317
-3.133 -4.329 5.348
-3.292 -4.991 7.411
-2.180 -1.429 2.462
-4.828 -3.490 1.597
-3.487 1.027 0.253
-1.951 -0.474 6.068
-4.599 -2.534 5.203
-5.198 0.729 6.203
-1.581 -4.692 1.461
```

---

Entry 16:
Entry from the Alexandria database: an optimized crystal structure of SrTa2PSe (PBE-GGA).

Calculated values
The final energy is -30.34 eV per formula unit.

Structure (POSCAR):
```
SrTa2PSe
1.0
4.743 0.000 0.000
0.000 5.759 0.000
0.000 0.000 4.743
Sr P Se Ta
1 1 1 2
Cartesian
0.000 2.880 0.000
2.371 2.880 2.371
0.000 0.000 0.000
0.000 0.000 2.371
2.371 0.000 0.000
```

---

Entry 17:
Entry from the Alexandria database: an optimized crystal structure of SrTeP2Se8 (PBE-GGA).

Calculated values
The final energy is -47.06 eV per formula unit.

Structure (POSCAR):
```
SrTeP2Se8
1.0
6.296 0.000 0.000
3.148 5.452 0.000
3.148 1.817 9.429
Sr Te P Se
1 1 2 8
Cartesian
6.296 3.635 4.715
0.000 0.000 0.000
3.148 1.817 2.436
9.444 5.452 6.993
3.148 1.817 4.612
5.296 2.089 1.732
9.444 5.452 4.817
8.135 3.542 1.732
4.457 3.728 7.697
5.457 5.274 1.732
7.135 1.996 7.697
7.296 5.181 7.697
```

---

Entry 18:
Entry from the Alexandria database: an optimized crystal structure of SrThP2Se8 (PBE-GGA).

Calculated values
The final energy is -56.06 eV per formula unit.

Structure (POSCAR):
```
SrThP2Se8
1.0
-0.919 5.763 -2.594
-3.567 -1.877 4.953
6.473 3.774 6.091
Sr Th P Se
1 1 2 8
Cartesian
0.000 0.000 0.000
3.236 1.887 3.045
-0.268 4.110 1.365
2.255 3.549 7.085
3.708 4.396 8.452
0.367 2.468 2.780
-2.096 2.976 5.082
-1.720 3.263 -0.002
4.083 4.683 3.368
1.620 5.191 5.670
2.350 7.619 3.391
-0.363 0.040 5.060
```

---

Entry 19:
Entry from the Alexandria database: an optimized crystal structure of SrTiP2Se8 (PBE-GGA).

Calculated values
The final energy is -55.09 eV per formula unit.

Structure (POSCAR):
```
SrTiP2Se8
1.0
6.294 0.000 0.000
-3.147 5.451 0.000
0.000 0.000 8.974
Sr Ti P Se
1 1 2 8
Cartesian
0.000 0.000 0.000
0.000 0.000 4.487
3.147 1.817 2.349
0.000 3.634 6.624
0.000 3.634 8.798
0.945 1.795 2.930
1.120 5.371 2.930
3.147 1.817 0.176
2.027 0.079 6.044
2.202 3.656 6.044
5.212 1.716 6.044
-2.065 3.735 2.930
```

---

Entry 20:
Entry from the Alexandria database: an optimized crystal structure of SrTlPSe4 (PBE-GGA).

Calculated values
The final energy is -28.87 eV per formula unit.

Structure (POSCAR):
```
SrTlPSe4
1.0
7.113 0.000 0.093
0.000 6.991 0.000
-2.664 0.000 8.545
Sr Tl P Se
2 2 2 8
Cartesian
4.207 5.243 3.883
0.241 1.748 4.755
2.802 5.243 8.047
1.646 1.748 0.591
0.665 5.243 2.616
3.783 1.748 6.023
5.103 3.506 6.443
-0.654 0.010 2.195
-0.654 3.485 2.195
5.103 6.981 6.443
2.440 5.243 1.300
2.009 1.748 7.338
1.152 5.243 4.794
3.297 1.748 3.844
```

---

Entry 21:
Entry from the Alexandria database: an optimized crystal structure of Sr2TlPSe (PBE-GGA).

Calculated values
The final energy is -15.70 eV per formula unit.

Structure (POSCAR):
```
Sr2TlPSe
1.0
6.253 0.000 0.000
0.000 4.813 0.000
0.000 0.000 6.253
Sr Tl Se P
2 1 1 1
Cartesian
0.000 0.000 3.126
3.126 0.000 0.000
0.000 0.000 0.000
3.126 2.406 3.126
0.000 2.406 0.000
```

---

Entry 22:
Entry from the Alexandria database: an optimized crystal structure of SrVP2Se8 (PBE-GGA).

Calculated values
The final energy is -54.96 eV per formula unit.

Structure (POSCAR):
```
SrVP2Se8
1.0
-3.345 5.263 0.108
1.568 -2.808 5.343
7.524 4.776 0.302
Sr V P Se
1 1 2 8
Cartesian
0.000 0.000 0.000
3.762 2.388 0.151
0.304 3.849 1.934
5.443 3.381 3.819
7.284 4.549 3.893
1.970 2.286 1.897
1.786 2.354 5.409
-1.536 2.681 1.860
3.961 4.876 0.344
3.777 4.944 3.856
2.242 7.482 1.965
3.505 -0.252 3.788
```

---

Entry 23:
Entry from the Alexandria database: an optimized crystal structure of TaPSe (PBE-GGA).

Calculated values
The final energy is -22.27 eV per formula unit.

Structure (POSCAR):
```
TaPSe
1.0
1.740 -3.013 0.000
1.740 3.013 0.000
0.000 0.000 5.992
Ta P Se
1 1 1
Cartesian
1.740 1.004 4.095
0.000 0.000 5.529
1.740 -1.004 2.360
```

---

Entry 24:
Entry from the Alexandria database: an optimized crystal structure of TaPSe (PBE-GGA).

Calculated values
The final energy is -19.82 eV per formula unit.

Structure (POSCAR):
```
TaPSe
1.0
0.000 3.034 3.034
3.034 0.000 3.034
3.034 3.034 0.000
Ta P Se
1 1 1
Cartesian
3.034 3.034 3.034
1.517 1.517 1.517
0.000 0.000 0.000
```

---

Entry 25:
Entry from the Alexandria database: an optimized crystal structure of TaP2Se (PBE-GGA).

Calculated values
The final energy is -26.38 eV per formula unit.

Structure (POSCAR):
```
TaP2Se
1.0
4.291 0.000 0.000
0.000 3.560 0.079
0.000 1.742 4.601
P Se Ta
2 1 1
Cartesian
0.000 2.853 0.246
2.146 1.122 0.716
0.000 2.856 2.552
2.146 4.683 3.585
```

---

Entry 26:
Entry from the Alexandria database: an optimized crystal structure of TaP2Se (PBE-GGA).

Calculated values
The final energy is -26.34 eV per formula unit.

Structure (POSCAR):
```
TaP2Se
1.0
4.636 0.003 0.018
3.457 3.089 0.018
0.190 0.073 4.979
P Se Ta
2 1 1
Cartesian
0.472 0.180 4.567
3.859 1.475 2.919
2.071 0.791 1.254
6.213 2.374 3.762
```

---

Entry 27:
Entry from the Alexandria database: an optimized crystal structure of TaP3Se (PBE-GGA).

Calculated values
As for the energy relative to the lowest polymorph listed for this composition: 0 meV/atom. The final energy is -28.66 eV per formula unit.

Structure (POSCAR):
```
TaP3Se
1.0
4.816 0.000 0.000
0.000 4.816 0.000
0.000 0.000 4.816
P Se Ta
3 1 1
Cartesian
0.000 2.408 0.000
0.000 0.000 2.408
2.408 0.000 0.000
2.408 2.408 2.408
0.000 0.000 0.000
```

---

Short version: uncorrected formation energy = -1058; -807; -1341; -401; -882; -426; -89; -476; -571; -544; -690; -1474; -726; -1335; -464; 789; -295; -689; -568; -783; -215; -455; -509; 309; -56; -47; 582 meV/atom, in the order given.